FeRhS after structural relaxation, computed with PBE.

Output
* total moment: 0.00 μB/f.u.
* energy relative to the lowest polymorph listed for this composition: 90.8 meV per atom
* raw formation energy: -0.33 eV/f.u.
* density of states at the Fermi level: 0.732 states/eV/atom

abc: 3.5708 3.5708 10.8381
angles: 90.00 90.00 120.00
Closest atoms and distances in Å follow each position.
Space group R3m (No. 160, hexagonal axes)
One atom of each set of equivalent atoms:
Fe (0.0000, 0.0000, 0.0000) x3  3 S 2.14
Rh (0.0000, 0.0000, 0.5002) x3  4 S 2.36-2.41
S (0.0000, 0.0000, 0.7181) x3  3 Fe 2.14, 1 Rh 2.36

TiNi3Sb after structural relaxation, computed with PBE.

Output
* total moment: 0.00 μB/f.u.
* energy relative to the lowest polymorph listed for this composition: 0.0 meV per atom
* raw formation energy: 3.65 eV/f.u.
* density of states at the Fermi level: 0.850 states/eV/atom

abc: 4.4222 4.4222 4.4222
angles: 90.00 90.00 90.00
Closest atoms and distances in Å follow each position.
Space group Pm-3m (No. 221)
One atom of each set of equivalent atoms:
Ti (0.0000, 0.0000, 0.0000) x1  6 Ni 2.21
Ni (0.0000, 0.0000, 0.5000) x3  2 Ti 2.21
Sb (0.5000, 0.5000, 0.5000) x1  12 Ni 3.13

Cs3KAu after structural relaxation, computed with PBE.

Output
* total moment: 0.00 μB/f.u.
* energy relative to the lowest polymorph listed for this composition: 8.3 meV per atom
* energy of formation from the pure elements: -0.13 eV/atom
* density of states at the Fermi level: 0.894 states/eV/atom

abc: 4.8777 13.0678 11.9338
angles: 90.00 101.60 90.00
Closest atoms and distances in Å follow each position.
Space group P2_1/m (No. 11)
One atom of each set of equivalent atoms:
Cs (0.1124, 0.0435, 0.2257) x4  2 Au 3.68
Cs (0.2605, 0.2500, 0.5264) x2  2 Au 3.81-3.82
K (0.4882, 0.2500, 0.9730) x2  1 Au 3.54
Au (0.3633, 0.7500, 0.7244) x2  1 K 3.54, 6 Cs 3.68-3.82

Q: Look up the total moment of the second one.
A: 0.00 μB/f.u.

Q: What is the formula in the second record?
A: TiNi3Sb